[1]
GGA-PBE CsPuNiS3, relaxed; symmetry = No. 11; volume = 27.4 Å³ per atom; DOS(E_F) = 1.56 states/eV per atom; theoretical density = 5.37 g/cm³; energy = -6.770 eV per atom; formation energy from raw total energies = -116.97 kJ/mol of atoms
1.0
9.362 0.000 0.000
0.000 3.971 0.000
-3.634 0.000 8.840
Cs Pu Ni S
2 2 2 6
Direct
0.211 0.250 0.248
0.789 0.750 0.752
0.322 0.750 0.845
0.678 0.250 0.155
0.079 0.250 0.593
0.921 0.750 0.407
0.132 0.250 0.848
0.175 0.750 0.545
0.476 0.750 0.152
0.524 0.250 0.848
0.825 0.250 0.455
0.868 0.750 0.152

=====

[2]
GGA-PBE CsPu2NiSe4, relaxed; symmetry = No. 63; volume = 27.5 Å³ per atom; DOS(E_F) = 2.42 states/eV per atom; theoretical density = 7.50 g/cm³; energy = -7.391 eV per atom; formation energy from raw total energies = -119.33 kJ/mol of atoms
1.0
2.078 -7.411 0.000
2.078 7.411 0.000
0.000 0.000 14.313
Cs Pu Ni Se
2 4 2 8
Direct
0.102 0.898 0.750
0.898 0.102 0.250
0.366 0.634 0.559
0.366 0.634 0.941
0.634 0.366 0.059
0.634 0.366 0.441
0.170 0.830 0.250
0.830 0.170 0.750
0.000 0.000 0.000
0.000 0.000 0.500
0.257 0.743 0.109
0.257 0.743 0.391
0.414 0.586 0.750
0.586 0.414 0.250
0.743 0.257 0.609
0.743 0.257 0.891